(1)
8
Lattice="-3.942 3.942 3.942 3.942 -3.942 3.942 3.942 3.942 -3.942" Properties=species:S:1:pos:R:3 comment="GeW (PBE, relaxed)" relative_energy_mev_per_atom=917 delta_e_f_kj_per_mol_fu=227 e_tot_ev_per_atom=-7.61 m_tot_mub_per_fu=0.00 pbc="T T T"
Ge 2.396 2.396 -2.396
Ge 2.396 -2.396 2.396
Ge 1.547 1.547 1.547
Ge -2.396 2.396 2.396
W 0.927 0.927 -0.927
W 0.927 -0.927 0.927
W -0.927 0.927 0.927
W 3.016 3.016 3.016

(2)
3
Lattice="5.329 0.000 0.000 -2.664 4.615 0.000 0.000 0.000 3.654" Properties=species:S:1:pos:R:3 comment="TbPrCd (PBE, relaxed)" relative_energy_mev_per_atom=119 delta_e_f_kj_per_mol_fu=-22 e_tot_ev_per_atom=-3.52 m_tot_mub_per_fu=0.00 pbc="T T T"
Tb 0.000 0.000 0.000
Pr 0.000 3.077 2.074
Cd 2.664 1.538 0.852

(3)
9
Lattice="5.460 0.000 0.000 2.572 5.812 0.000 0.361 1.894 8.060" Properties=species:S:1:pos:R:3 comment="Cd2Hg2Pb5 (PBE, relaxed)" delta_e_f_kj_per_mol_fu=35 e_tot_ev_per_atom=-2.29 m_tot_mub_per_fu=0.00 pbc="T T T"
Cd 1.496 0.912 2.608
Cd 6.898 6.793 5.453
Hg 3.972 4.919 0.126
Hg 4.421 2.786 7.935
Pb 1.286 2.906 0.000
Pb 1.547 2.768 5.331
Pb 4.227 4.937 5.428
Pb 4.167 2.769 2.632
Pb 6.847 4.937 2.729